# 1
VASP calculation (GGA-PBE) on a relaxed structure of Gd2TmBe. Values from VASP.

Structure (Quantum ESPRESSO input):
```
&SYSTEM
  ibrav = 0, nat = 4, ntyp = 3
/
ATOMIC_SPECIES
Gd 157.25 Gd.upf
Be 9.01 Be.upf
Tm 168.93 Tm.upf
CELL_PARAMETERS angstrom
-0.028 3.019 -1.746
-2.431 -1.269 -2.155
-6.098 2.927 5.156
ATOMIC_POSITIONS angstrom
Gd -4.902 2.353 4.144
Gd -1.196 0.574 1.011
Be -1.229 0.875 -1.951
Tm -4.278 2.338 0.627
```

Output
ΔE to the lowest computed polymorph = 0.000 eV/atom
VASP energy = -9.0006 eV/atom
space-group type = P4/mmm
calculated formation energy = 0.089 eV per atom
volume = 103.4 Å³/cell

***

# 2
VASP calculation (GGA-PBE) on a relaxed structure of GdYBe2. Values from VASP.

Structure (Quantum ESPRESSO input):
```
&SYSTEM
  ibrav = 0, nat = 4, ntyp = 3
/
ATOMIC_SPECIES
Y 88.91 Y.upf
Be 9.01 Be.upf
Gd 157.25 Gd.upf
CELL_PARAMETERS angstrom
3.434 0.000 0.000
0.000 4.847 0.000
0.000 0.000 4.847
ATOMIC_POSITIONS angstrom
Y 1.717 2.424 2.424
Be 0.000 0.000 2.424
Be 0.000 2.424 0.000
Gd 1.717 0.000 0.000
```

Output
VASP energy = -6.8962 eV/atom
space-group type = P4/mmm
calculated formation energy = 0.103 eV per atom
volume = 80.7 Å³/cell

***

# 3
VASP calculation (GGA-PBE) on a relaxed structure of GdY2Be. Values from VASP.

Structure (Quantum ESPRESSO input):
```
&SYSTEM
  ibrav = 0, nat = 4, ntyp = 3
/
ATOMIC_SPECIES
Y 88.91 Y.upf
Be 9.01 Be.upf
Gd 157.25 Gd.upf
CELL_PARAMETERS angstrom
-1.816 2.357 -1.797
1.147 -1.385 -2.974
-6.852 -5.383 -0.136
ATOMIC_POSITIONS angstrom
Y -5.550 -4.360 -0.110
Y -1.302 -1.023 -0.026
Be -0.334 0.486 -2.386
Gd -3.761 -2.205 -2.454
```

Output
VASP energy = -7.6149 eV/atom
space-group type = P4/mmm
calculated formation energy = 0.069 eV per atom
volume = 105.3 Å³/cell

***

# 4
VASP calculation (GGA-PBE) on a relaxed structure of Gd2YBe. Values from VASP.

Structure (Quantum ESPRESSO input):
```
&SYSTEM
  ibrav = 0, nat = 4, ntyp = 3
/
ATOMIC_SPECIES
Y 88.91 Y.upf
Be 9.01 Be.upf
Gd 157.25 Gd.upf
CELL_PARAMETERS angstrom
3.459 0.000 0.000
1.729 2.995 0.000
1.729 0.998 11.468
ATOMIC_POSITIONS angstrom
Y 3.459 1.997 5.734
Be 0.000 0.000 0.000
Gd 1.729 0.998 8.602
Gd 5.188 2.995 2.867
```

Output
ΔE to the lowest computed polymorph = 0.607 eV/atom
VASP energy = -8.8965 eV/atom
space-group type = R-3m
calculated formation energy = 0.691 eV per atom
volume = 118.8 Å³/cell